The following is a DFT calculation (PBE-GGA) of HgOs after structural relaxation.

The density of states at the Fermi level is 0.75 states/eV per atom. Its crystal system is orthorhombic. As for the formation energy from the elements: 0.885 eV per formula unit.

It has space group Cmcm (No. 63), with a = 2.910 Å, b = 17.533 Å, c = 2.873 Å, α = 90.00°, β = 90.00° and γ = 90.00°. The asymmetric unit holds Hg at (0.000, 0.078, 0.250) and Os at (0.000, 0.295, 0.250).